No. 1
Compound: ZrVInOs2
Source: Alexandria via LeMat-Bulk
Functional: PBE
Structure: relaxed

CIF file:
```
data_ZrVInOs2
_space_group_name_H-M_alt 'P 4/m m m'
_space_group_IT_number 123
_space_group_name_Hall '-P 4 2'
_cell_length_a 4.786
_cell_length_b 4.786
_cell_length_c 5.021
_cell_angle_alpha 90.00
_cell_angle_beta 90.00
_cell_angle_gamma 90.00
loop_
_atom_site_label
_atom_site_fract_x
_atom_site_fract_y
_atom_site_fract_z
Zr1 0.000 0.000 0.000
V1 0.500 0.500 0.000
In1 0.000 0.000 0.500
Os1 0.000 0.500 0.500
```

Calculated values
The magnetic moment is 0.09 μB per formula unit. For the formation energy from the elements, the calculation gives 2.368 eV per atom. Its total energy is -6.205 eV per atom. The calculation puts the volume at 23.00 A^3/atom.

=====

No. 2
Compound: CaAc4Nd4
Source: Alexandria via LeMat-Bulk
Functional: PBE
Structure: relaxed

CIF file:
```
data_CaAc4Nd4
_space_group_name_H-M_alt 'I 4/m m m'
_space_group_IT_number 139
_space_group_name_Hall '-I 4 2'
_cell_length_a 11.497
_cell_length_b 11.497
_cell_length_c 5.464
_cell_angle_alpha 90.00
_cell_angle_beta 90.00
_cell_angle_gamma 90.00
loop_
_atom_site_label
_atom_site_fract_x
_atom_site_fract_y
_atom_site_fract_z
Ca1 0.000 0.000 0.000
Ac1 0.170 0.170 0.500
Nd1 0.000 0.342 0.000
```

Calculated values
The magnetic moment is 0.00 μB per formula unit. For the formation energy from the elements, the calculation gives 0.032 eV per atom. Its total energy is -4.135 eV per atom. The calculation puts the volume at 40.12 A^3/atom.